[1]
VASP calculation (PBE-GGA) on a relaxed P5Br crystal.

* M_tot: 1.99 μB per cell
* DOS(E_F): 0.53 states/eV/atom
* uncorrected energy: -4.08 eV/atom
* SG: F-43m
* uncorrected formation energy: 710.4 meV per atom

a = 5.8847 Å, b = 5.8847 Å, c = 5.8847 Å
α = 60.00°, β = 60.00°, γ = 60.00°
Each line ends with the local moment (μB).
Atoms (fractional coordinates):
P1 0.2500 0.2500 0.2500  0.84
P2 0.6558 0.6558 0.6558  0.00
P3 0.6558 0.6558 0.0325  0.00
P4 0.0325 0.6558 0.6558  0.00
P5 0.6558 0.0325 0.6558  0.00
Br1 0.0000 0.0000 0.0000  0.08

***

[2]
VASP calculation (PBE-GGA) on a relaxed P3Br crystal.

* M_tot: 0.00 μB per cell
* DOS(E_F): 0.73 states/eV/atom
* uncorrected energy: -3.43 eV/atom
* SG: P4/mmm
* uncorrected formation energy: 1047.6 meV per atom

a = 4.5965 Å, b = 4.5965 Å, c = 3.2540 Å
α = 90.00°, β = 90.00°, γ = 90.00°
Atoms (fractional coordinates):
P1 0.0000 0.5000 0.5000
P2 0.5000 0.5000 0.0000
P3 0.5000 0.0000 0.5000
Br1 0.0000 0.0000 0.0000